1.
A relaxed Y3ThCd2 crystal, computed with GGA-PBE.

Unit cell a=3.665 b=3.665 c=12.600 alpha=90.00 beta=90.00 gamma=90.00
Element x y z (fractional)
Y  0.000  0.000  0.690
Y  0.000  0.000  0.310
Y  0.000  0.000  0.000
Cd  0.500  0.500  0.154
Cd  0.500  0.500  0.846
Th  0.500  0.500  0.500

Properties
M_tot: 0.01 μB per formula unit
DOS(E_F): 5.8 states/eV per cell
calculated total energy: -5.006 eV/atom
formation energy from the elements: -0.23 eV per atom


2.
A relaxed Rb2SrCu2Cl6 crystal, computed with GGA-PBE.

Unit cell a=7.518 b=7.502 c=8.013 alpha=115.77 beta=90.00 gamma=120.07
Each line ends with the local moment (μB).
Element x y z (fractional)
Rb  0.277  0.554  0.804  0.00
Rb  0.723  0.446  0.196  0.00
Cl  0.696  0.889  0.192  0.01
Cl  0.248  0.496  0.364  0.00
Cl  0.807  0.111  0.808  0.01
Cl  0.752  0.504  0.636  0.00
Cl  0.304  0.111  0.808  0.01
Cl  0.193  0.889  0.192  0.01
Cu  0.951  0.901  0.780  0.08
Cu  0.049  0.099  0.220  0.08
Sr  0.500  0.000  0.500  0.00

Properties
M_tot: 0.20 μB per formula unit
DOS(E_F): 0.0 states/eV per cell
calculated total energy: -3.612 eV/atom


3.
A relaxed CaGa2Ir crystal, computed with GGA-PBE.

Unit cell a=5.874 b=6.904 c=7.631 alpha=90.00 beta=90.00 gamma=90.00
Element x y z (fractional)
Ga  0.901  0.054  0.160
Ga  0.599  0.054  0.660
Ga  0.099  0.554  0.840
Ga  0.401  0.554  0.340
Ga  0.401  0.946  0.340
Ga  0.599  0.446  0.660
Ga  0.901  0.446  0.160
Ga  0.099  0.946  0.840
Ca  0.111  0.250  0.538
Ca  0.389  0.250  0.038
Ca  0.611  0.750  0.962
Ca  0.889  0.750  0.462
Ir  0.145  0.750  0.133
Ir  0.355  0.750  0.633
Ir  0.645  0.250  0.367
Ir  0.855  0.250  0.867

Properties
M_tot: 0.00 μB per formula unit
DOS(E_F): 4.5 states/eV per cell
calculated total energy: -4.849 eV/atom
formation energy from the elements: -0.62 eV per atom


4.
A relaxed Ac2SiGeOs crystal, computed with GGA-PBE.

Unit cell a=4.408 b=4.408 c=14.699 alpha=90.00 beta=90.00 gamma=90.00
Element x y z (fractional)
Os  0.000  0.000  0.500
Os  0.500  0.500  0.500
Ac  0.500  0.000  0.336
Ac  0.500  0.000  0.893
Ac  0.000  0.500  0.107
Ac  0.000  0.500  0.664
Ge  0.500  0.000  0.120
Ge  0.000  0.500  0.880
Si  0.500  0.000  0.575
Si  0.000  0.500  0.425

Properties
M_tot: 0.00 μB per formula unit
DOS(E_F): 8.1 states/eV per cell
calculated total energy: -6.442 eV/atom


5.
A relaxed Re2BIrI crystal, computed with GGA-PBE.

Unit cell a=4.800 b=5.573 c=4.800 alpha=90.00 beta=90.00 gamma=90.00
Each line ends with the local moment (μB).
Element x y z (fractional)
Re  0.000  0.000  0.500  1.74
Re  0.500  0.000  0.000  1.77
Ir  0.000  0.000  0.000  -0.06
I  0.000  0.500  0.000  0.11
B  0.500  0.500  0.500  -0.12

Properties
M_tot: 3.98 μB per formula unit
DOS(E_F): 4.2 states/eV per cell
calculated total energy: -5.585 eV/atom


6.
A relaxed TbSi3Os crystal, computed with GGA-PBE.

Unit cell a=5.794 b=5.597 c=5.595 alpha=90.00 beta=90.00 gamma=78.36
Element x y z (fractional)
Si  0.706  0.897  0.524
Si  0.700  0.511  0.750
Si  0.294  0.103  0.024
Si  0.294  0.103  0.476
Si  0.706  0.897  0.976
Si  0.300  0.489  0.250
Os  0.970  0.126  0.750
Os  0.030  0.874  0.250
Tb  0.808  0.400  0.250
Tb  0.192  0.600  0.750

Properties
M_tot: 0.00 μB per formula unit
DOS(E_F): 3.5 states/eV per cell
calculated total energy: -6.889 eV/atom
distance to the lowest polymorph of the same formula: 0.148 eV per atom